Entry 1:
{"formula": "Ba2CoMo", "functional": "GGA-PBE", "state": "relaxed", "lattice_angstrom": [[0.0000, 3.9375, 3.9375], [3.9375, 0.0000, 3.9375], [3.9375, 3.9375, 0.0000]], "species": ["Ba", "Ba", "Co", "Mo"], "fractional_positions": [[0.2500, 0.2500, 0.2500], [0.7500, 0.7500, 0.7500], [0.0000, 0.0000, 0.0000], [0.5000, 0.5000, 0.5000]], "polymorph_energy_ev_per_fu": 2.30, "delta_e_f_mev_per_atom": 1204, "n_ef_per_ev_cell": 4.093}

***

Entry 2:
{"formula": "AcNdLuAg", "functional": "GGA-PBE", "state": "relaxed", "lattice_angstrom": [[0.0000, 3.9558, 3.9558], [3.9558, 0.0000, 3.9558], [3.9558, 3.9558, 0.0000]], "species": ["Ac", "Nd", "Lu", "Ag"], "fractional_positions": [[0.0000, 0.0000, 0.0000], [0.2500, 0.2500, 0.2500], [0.7500, 0.7500, 0.7500], [0.5000, 0.5000, 0.5000]], "delta_e_f_mev_per_atom": 189, "n_ef_per_ev_cell": 6.695}

***

Entry 3:
{"formula": "Li2CeSi", "functional": "GGA-PBE", "state": "relaxed", "lattice_angstrom": [[0.0000, 3.2633, 3.2633], [3.2633, 0.0000, 3.2633], [3.2633, 3.2633, 0.0000]], "species": ["Li", "Li", "Ce", "Si"], "fractional_positions": [[0.2500, 0.2500, 0.2500], [0.7500, 0.7500, 0.7500], [0.0000, 0.0000, 0.0000], [0.5000, 0.5000, 0.5000]], "formation_energy_uncorrected_ev_per_atom": -0.231, "n_ef_per_ev_cell": 5.357}

***

Entry 4:
{"formula": "Cs2AcThS4", "functional": "GGA-PBE", "state": "relaxed", "lattice_angstrom": [[7.5216, 0.0000, 0.0000], [0.0000, 4.3199, 0.0000], [-2.4802, 0.0000, 8.1171]], "species": ["Cs", "Cs", "Ac", "Th", "S", "S", "S", "S"], "fractional_positions": [[0.0000, 0.0000, 0.0000], [0.5000, 0.5000, 0.0000], [0.0000, 0.5000, 0.5000], [0.5000, 0.0000, 0.5000], [0.2489, 0.0000, 0.6926], [0.2866, 0.5000, 0.3130], [0.7134, 0.5000, 0.6870], [0.7511, 0.0000, 0.3074]], "formation_energy_uncorrected_ev_per_atom": -1.742, "n_ef_per_ev_cell": 4.077}

***

Entry 5:
{"formula": "HoPtPb2", "functional": "GGA-PBE", "state": "relaxed", "lattice_angstrom": [[1.7860, 1.0312, 10.2332], [-1.7860, 1.0312, 10.2332], [0.0000, -2.0623, 10.2332]], "species": ["Ho", "Pt", "Pb", "Pb"], "fractional_positions": [[0.0000, 0.0000, 0.0000], [0.5000, 0.5000, 0.5000], [0.1029, 0.1029, 0.1029], [0.8971, 0.8971, 0.8971]], "delta_e_f_mev_per_atom": 13, "n_ef_per_ev_cell": 3.389}

***

Entry 6:
{"formula": "Pu3Sn2Au", "functional": "GGA-PBE", "state": "relaxed", "lattice_angstrom": [[3.3591, 0.0000, 0.0000], [0.0000, 3.3591, 0.0000], [0.0000, 0.0000, 13.4106]], "species": ["Pu", "Pu", "Pu", "Sn", "Sn", "Au"], "fractional_positions": [[0.0000, 0.0000, 0.0000], [0.0000, 0.0000, 0.3445], [0.0000, 0.0000, 0.6555], [0.5000, 0.5000, 0.1722], [0.5000, 0.5000, 0.8278], [0.5000, 0.5000, 0.5000]], "delta_e_f_mev_per_atom": -375, "n_ef_per_ev_cell": 22.993}

***

Entry 7:
{"formula": "K2PuMgI6", "functional": "GGA-PBE", "state": "relaxed", "lattice_angstrom": [[4.2063, 2.4285, 7.0540], [-4.2063, 2.4285, 7.0540], [0.0000, -4.8570, 7.0540]], "species": ["K", "K", "Pu", "Mg", "I", "I", "I", "I", "I", "I"], "fractional_positions": [[0.0000, 0.0000, 0.0000], [0.5001, 0.5001, 0.5001], [0.2854, 0.2854, 0.2854], [0.7852, 0.7852, 0.7852], [0.0330, 0.4547, 0.6377], [0.1190, 0.9351, 0.5546], [0.4547, 0.6377, 0.0330], [0.5546, 0.1190, 0.9351], [0.6377, 0.0330, 0.4547], [0.9351, 0.5546, 0.1190]], "formation_energy_uncorrected_ev_per_atom": -1.161, "n_ef_per_ev_cell": 20.183}

***

Entry 8:
{"formula": "FePbAu2", "functional": "GGA-PBE", "state": "relaxed", "lattice_angstrom": [[2.8324, -4.0303, 0.0000], [2.8324, 4.0303, 0.0000], [0.0000, 0.0000, 3.4494]], "species": ["Fe", "Pb", "Au", "Au"], "fractional_positions": [[0.0000, 0.0000, 0.0000], [0.5000, 0.5000, 0.0000], [0.0000, 0.5000, 0.5000], [0.5000, 0.0000, 0.5000]], "delta_e_f_mev_per_atom": 302, "n_ef_per_ev_cell": 2.660}